(1)
## ScZnAg (PBE)

Data for an optimized crystal structure of ScZnAg.

Calculated formation energy   -77 kJ/mol of formula units
Magnetic moment   0.0 μB/cell
Raw total energy   -3.752 eV per atom

Cell lengths 4.5606, 4.5606, 3.0798 Å; angles 90.00, 90.00, 120.00 degrees
Last column: nearest neighbours and their distance in Å.
Space group P-6m2 (No. 187)
Symmetry-distinct sites (fractional):
Sc1 0.0000 0.0000 0.0000  6 Zn 3.05, 6 Ag 3.05, 2 Sc 3.08
Zn1 0.3333 0.6667 0.5000  3 Ag 2.63
Ag1 0.6667 0.3333 0.5000  3 Zn 2.63

(2)
## Zr2MnHg (PBE)

Data for an optimized crystal structure of Zr2MnHg.

Calculated formation energy   6 kJ/mol of formula units
Magnetic moment   3.5 μB/cell
Raw total energy   -6.626 eV per atom

Cell lengths 3.1972, 3.1972, 8.0065 Å; angles 90.00, 90.00, 90.00 degrees
Last column: nearest neighbours and their distance in Å.
Space group P4mm (No. 99)
Symmetry-distinct sites (fractional):
Zr1 0.0000 0.0000 0.0000  4 Mn 2.89, 8 Zr 3.18-3.20
Zr2 0.5000 0.5000 0.2789  4 Hg 3.15, 8 Zr 3.18-3.20
Mn1 0.5000 0.5000 0.7746  4 Hg 2.87, 4 Zr 2.89, 4 Mn 3.20
Hg1 0.0000 0.0000 0.5535  4 Mn 2.87, 4 Zr 3.15, 4 Hg 3.20

(3)
## VAs3C (PBE)

Data for an optimized crystal structure of VAs3C.

Calculated formation energy   496 kJ/mol of formula units
Magnetic moment   3.3 μB/cell
Raw total energy   -5.431 eV per atom

Cell lengths 4.3182, 4.3182, 4.3182 Å; angles 90.00, 90.00, 90.00 degrees
Last column: nearest neighbours and their distance in Å.
Space group Pm-3m (No. 221)
Symmetry-distinct sites (fractional):
V1 0.0000 0.0000 0.0000  12 As 3.05
As1 0.0000 0.5000 0.5000  2 C 2.16
C1 0.5000 0.5000 0.5000  6 As 2.16

(4)
## BeFe2TcH (PBE)

Data for an optimized crystal structure of BeFe2TcH.

Magnetic moment   4.1 μB/cell
Raw total energy   -6.773 eV per atom

Cell lengths 3.4739, 3.4739, 3.9617 Å; angles 90.00, 90.00, 90.00 degrees
Last column: nearest neighbours and their distance in Å.
Space group P4/mmm (No. 123)
Symmetry-distinct sites (fractional):
Be1 0.0000 0.0000 0.0000  2 H 1.98
Fe1 0.0000 0.5000 0.5000  2 H 1.74
Tc1 0.5000 0.5000 0.0000  4 Be 2.46, 8 Fe 2.63
H1 0.0000 0.0000 0.5000  4 Fe 1.74